# 1
## UAl11Tc (PBE-GGA)

Data for an optimized crystal structure of UAl11Tc.

```
UAl11Tc
1.0
2.629 -6.362 0.000
2.629 6.362 0.000
-2.629 0.000 6.534
U Al Tc
1 11 1
Cartesian
0.000 0.000 0.000
-1.314 0.000 3.267
1.315 3.181 0.000
0.065 2.201 2.335
0.017 1.349 5.111
0.065 -2.201 2.335
1.315 -3.181 0.000
0.017 -1.349 5.111
2.613 1.349 1.422
2.565 2.201 4.198
2.613 -1.349 1.422
2.565 -2.201 4.198
1.315 0.000 3.267
```

Values from the calculation:
* calculated total energy: -4.9929 eV/atom
* DOS at the Fermi energy: 0.714 states/eV/atom

---

# 2
## UAl10Tc2 (PBE-GGA)

Data for an optimized crystal structure of UAl10Tc2.

```
UAl10Tc2
1.0
4.535 -5.171 0.000
4.535 5.171 0.000
0.000 0.000 9.164
U Al Tc
2 20 4
Cartesian
4.535 3.868 6.873
4.535 -3.868 2.291
2.472 1.383 6.873
4.535 3.583 0.910
4.535 3.583 3.672
3.141 1.343 2.291
2.035 0.000 0.000
2.035 0.000 4.582
4.535 1.282 4.990
4.535 1.282 8.755
2.472 -1.383 2.291
3.141 -1.343 6.873
5.929 1.343 2.291
6.598 1.383 6.873
4.535 -1.282 0.409
4.535 -1.282 4.173
7.035 0.000 0.000
7.035 0.000 4.582
5.929 -1.343 6.873
4.535 -3.583 5.491
4.535 -3.583 8.254
6.598 -1.383 2.291
2.267 2.586 0.000
2.267 2.586 4.582
2.267 -2.586 0.000
2.267 -2.586 4.582
```

Values from the calculation:
* calculated total energy: -5.6631 eV/atom
* DOS at the Fermi energy: 0.788 states/eV/atom

---

# 3
## UAlZnTc (PBE-GGA)

Data for an optimized crystal structure of UAlZnTc.

```
UAlZnTc
1.0
0.000 3.276 3.276
3.276 0.000 3.276
3.276 3.276 0.000
U Al Zn Tc
1 1 1 1
Cartesian
0.000 0.000 0.000
3.276 3.276 3.276
1.638 1.638 1.638
4.913 4.913 4.913
```

Values from the calculation:
* calculated total energy: -6.5831 eV/atom
* DOS at the Fermi energy: 1.550 states/eV/atom

---

# 4
## AlVTc (PBE-GGA)

Data for an optimized crystal structure of AlVTc.

```
AlVTc
1.0
3.136 0.000 0.000
0.000 2.109 6.384
0.000 -2.109 6.384
Al V Tc
2 2 2
Cartesian
0.000 0.000 0.000
1.568 0.000 2.277
0.000 0.000 4.425
0.000 0.000 8.559
1.568 0.000 6.539
1.568 0.000 10.640
```

Values from the calculation:
* calculated total energy: -8.1325 eV/atom
* DOS at the Fermi energy: 0.460 states/eV/atom
* E above lowest polymorph: 19.3 meV per atom

---

# 5
## AlVTc (PBE-GGA)

Data for an optimized crystal structure of AlVTc.

```
AlVTc
1.0
4.470 -2.164 0.000
4.470 2.164 0.000
-2.965 0.000 4.392
Al V Tc
2 2 2
Cartesian
0.000 0.000 0.000
4.460 0.000 2.126
1.618 0.000 2.234
3.090 0.000 4.380
-0.055 0.000 4.320
7.356 0.000 2.134
```

Values from the calculation:
* calculated total energy: -8.1050 eV/atom
* DOS at the Fermi energy: 0.605 states/eV/atom
* E above lowest polymorph: 46.8 meV per atom

---

# 6
## Al3VTc (PBE-GGA)

Data for an optimized crystal structure of Al3VTc.

```
Al3VTc
1.0
4.671 0.000 0.000
0.000 4.671 0.000
0.000 0.000 4.671
Al V Tc
3 1 1
Cartesian
0.000 0.000 2.336
0.000 2.336 0.000
2.336 0.000 0.000
2.336 2.336 2.336
0.000 0.000 0.000
```

Values from the calculation:
* calculated total energy: -5.6367 eV/atom
* DOS at the Fermi energy: 0.917 states/eV/atom
* E above lowest polymorph: 0.0 meV per atom

---

# 7
## Al2V4Tc (PBE-GGA)

Data for an optimized crystal structure of Al2V4Tc.

```
Al2V4Tc
1.0
-2.230 2.230 6.724
2.230 -2.230 6.724
2.230 2.230 -6.724
Al V Tc
2 4 1
Cartesian
0.000 0.000 1.680
0.000 0.000 11.768
2.230 0.000 0.000
0.000 0.000 4.331
0.000 2.230 0.000
0.000 0.000 9.117
0.000 0.000 6.724
```

Values from the calculation:
* calculated total energy: -6.8825 eV/atom
* DOS at the Fermi energy: 1.174 states/eV/atom
* E above lowest polymorph: 1097.6 meV per atom

---

# 8
## Al2V2Tc3 (PBE-GGA)

Data for an optimized crystal structure of Al2V2Tc3.

```
Al2V2Tc3
1.0
-3.746 3.746 3.746
3.746 -3.746 3.746
3.746 3.746 -3.746
Al V Tc
4 4 6
Cartesian
3.064 0.682 -0.682
0.682 0.682 0.682
0.682 -0.682 3.064
-0.682 3.064 0.682
5.272 -1.527 1.527
1.527 5.272 -1.527
2.219 2.219 2.219
-1.527 1.527 5.272
5.619 0.458 0.000
3.287 0.000 1.873
1.873 3.287 0.000
0.000 1.873 3.287
0.458 0.000 5.619
0.000 5.619 0.458
```

Values from the calculation:
* calculated total energy: -8.0959 eV/atom
* DOS at the Fermi energy: 0.827 states/eV/atom

---

Number 1: energy of formation -160 meV per atom, magnetic moment 2.581 μB per formula unit. Number 2: energy of formation -321 meV per atom, magnetic moment 2.090 μB per formula unit. Number 3: energy of formation 85 meV per atom, magnetic moment 1.474 μB per formula unit. Number 4: energy of formation -390 meV per atom, magnetic moment 0.000 μB per formula unit. Number 5: energy of formation -363 meV per atom, magnetic moment 0.000 μB per formula unit. Number 6: energy of formation 506 meV per atom, magnetic moment 3.254 μB per formula unit. Number 7: energy of formation 878 meV per atom, magnetic moment 3.258 μB per formula unit. Number 8: energy of formation 21 meV per atom, magnetic moment 0.000 μB per formula unit.